# LiHo2Sn2 GGA-PBE optimized geometry
# Calculated formation energy in eV/atom: -0.51
# VASP energy in eV/atom: -4.32
# Crystal system: orthorhombic
# M_tot in μB/cell: 0.0
data_LiHo2Sn2
_chemical_formula_sum 'Li4 Ho8 Sn8'
_cell_length_a 6.476
_cell_length_b 12.810
_cell_length_c 6.286
_cell_angle_alpha 90.00
_cell_angle_beta 90.00
_cell_angle_gamma 90.00
_symmetry_space_group_name_H-M 'I b a m'
_symmetry_Int_Tables_number 72
_symmetry_space_group_name_Hall '-I 2 2c'
loop_
_atom_site_label
_atom_site_fract_x
_atom_site_fract_y
_atom_site_fract_z
Li1 0.000 0.000 0.250
Ho1 0.216 0.360 0.000
Sn1 0.238 0.118 0.000